[1]
# HfCoSe2N

HfCoSe2N after structural relaxation (PBE, Alexandria via LeMat-Bulk).

Properties
Calculated volume, Å³/atom: 22.18
Uncorrected energy, eV/atom: -6.13
Offset from the most stable computed form, meV per atom: 329
Density of states at the Fermi level, states/eV/atom: 0.8846

a b c (Å): 5.2483 5.2483 4.0256
angles (deg): 90.00 90.00 90.00
Closest atoms and distances in Å follow each position.
Space group P4/mmm (No. 123)
One atom of each set of equivalent atoms:
Hf 0.0000 0.0000 0.0000  2 N 2.01
Co 0.5000 0.5000 0.5000  8 Se 3.31
Se 0.0000 0.5000 0.0000  2 Hf 2.62
N 0.0000 0.0000 0.5000  2 Hf 2.01



[2]
# Ce2Er4Tm5

Ce2Er4Tm5 after structural relaxation (PBE, Alexandria via LeMat-Bulk).

Properties
Calculated formation energy, eV/f.u.: 2.91
Calculated volume, Å³/atom: 31.85
Uncorrected energy, eV/atom: -4.51
Offset from the most stable computed form, meV per atom: 114
Density of states at the Fermi level, states/eV/atom: 1.9169

a b c (Å): 3.3884 11.3420 18.2303
angles (deg): 90.00 90.00 90.00
Closest atoms and distances in Å follow each position.
Space group Immm (No. 71)
One atom of each set of equivalent atoms:
Ce 0.0000 0.0000 0.2068  2 Tm 3.25, 2 Ce 3.39
Er 0.0000 0.0000 0.4082  7 Er 3.35-3.49, 4 Tm 3.37, 1 Ce 3.67
Er 0.0000 0.2753 0.0000  4 Tm 3.22-3.55, 6 Er 3.39-3.49
Tm 0.0000 0.2823 0.1765  3 Er 3.22-3.37, 1 Ce 3.25, 4 Tm 3.25-3.39
Tm 0.0000 0.5000 0.5000  2 Tm 3.39, 4 Er 3.55



[3]
# Ho12SnPd6

Ho12SnPd6 after structural relaxation (PBE, Alexandria via LeMat-Bulk).

Properties
Calculated formation energy, eV/f.u.: -10.29
Calculated volume, Å³/atom: 26.87
Uncorrected energy, eV/atom: -5.28
Offset from the most stable computed form, meV per atom: 120
Density of states at the Fermi level, states/eV/atom: 0.8942

a b c (Å): 14.0842 14.0842 8.9168
angles (deg): 90.00 90.00 120.00
Closest atoms and distances in Å follow each position.
Space group R-3 (No. 148, hexagonal axes)
One atom of each set of equivalent atoms:
Ho 0.0400 0.2536 0.4275  3 Pd 2.76-2.90
Ho 0.0579 0.1767 0.8243  3 Pd 2.78-3.00
Sn 0.0000 0.0000 0.5000  12 Ho 3.39-3.63
Pd 0.0712 0.4998 0.7799  6 Ho 2.76-3.00



[4]
# Nd4DyPb4

Nd4DyPb4 after structural relaxation (PBE, Alexandria via LeMat-Bulk).

Properties
Calculated formation energy, eV/f.u.: -2.84
Calculated volume, Å³/atom: 33.85
Uncorrected energy, eV/atom: -4.59
Density of states at the Fermi level, states/eV/atom: 0.7787

a b c (Å): 9.6435 9.6435 6.5516
angles (deg): 90.00 90.00 90.00
Closest atoms and distances in Å follow each position.
Space group P4_2/n (No. 86, origin choice 2)
One atom of each set of equivalent atoms:
Nd 0.0286 0.6694 0.1205  4 Pb 3.16-3.37
Dy 0.2500 0.2500 0.2500  4 Pb 2.98
Pb 0.0274 0.6526 0.6125  1 Dy 2.98, 2 Nd 3.16-3.23



[5]
# GdThSb

GdThSb after structural relaxation (PBE, Alexandria via LeMat-Bulk).

Properties
Calculated volume, Å³/atom: 30.72
Uncorrected energy, eV/atom: -8.81
Density of states at the Fermi level, states/eV/atom: 1.4346

a b c (Å): 5.2437 5.2437 3.8698
angles (deg): 90.00 90.00 120.00
Closest atoms and distances in Å follow each position.
Space group P3m1 (No. 156)
One atom of each set of equivalent atoms:
Gd 0.0000 0.0000 0.0000  3 Sb 3.08
Th 0.3333 0.6667 0.4866  3 Sb 3.35, 6 Gd 3.57-3.62
Sb 0.6667 0.3333 0.8550  3 Gd 3.08, 3 Th 3.35



[6]
# La2TlAgPt

La2TlAgPt after structural relaxation (PBE, Alexandria via LeMat-Bulk).

Properties
Calculated formation energy, eV/f.u.: -3.17
Calculated volume, Å³/atom: 27.53
Uncorrected energy, eV/atom: -4.86
Density of states at the Fermi level, states/eV/atom: 0.7464

a b c (Å): 8.3515 4.2266 8.3675
angles (deg): 90.00 111.24 90.00
Closest atoms and distances in Å follow each position.
Space group P2_1/m (No. 11)
One atom of each set of equivalent atoms:
La 0.1241 0.2500 0.3528  2 Pt 2.95
La 0.2942 0.2500 0.9970  3 Pt 2.94-3.15
Tl 0.3087 0.7500 0.6847  3 Ag 3.05-3.33, 4 La 3.38-3.40
Ag 0.4467 0.7500 0.3585  1 Pt 2.87, 2 Tl 3.05, 2 Ag 3.06
Pt 0.1075 0.7500 0.1020  1 Ag 2.87, 2 Pt 2.90, 5 La 2.94-3.15



[7]
# BaCuCl2

BaCuCl2 after structural relaxation (PBE, Alexandria via LeMat-Bulk).

Properties
Calculated volume, Å³/atom: 26.27
Uncorrected energy, eV/atom: -3.31
Offset from the most stable computed form, meV per atom: 305
Density of states at the Fermi level, states/eV/atom: 0.6148

a b c (Å): 7.4906 7.4906 7.4906
angles (deg): 90.00 90.00 90.00
Closest atoms and distances in Å follow each position.
Space group F-43m (No. 216)
One atom of each set of equivalent atoms:
Ba 0.0000 0.0000 0.0000  4 Cu 3.24, 4 Cl 3.24
Cu 0.2500 0.2500 0.7500  4 Cl 3.24, 4 Ba 3.24
Cl 0.0000 0.0000 0.5000  4 Cl 3.24, 4 Cu 3.24
Cl 0.2500 0.2500 0.2500  4 Ba 3.24, 4 Cl 3.24



[8]
# Pr3AgPd2

Pr3AgPd2 after structural relaxation (PBE, Alexandria via LeMat-Bulk).

Properties
Calculated formation energy, eV/f.u.: -2.91
Calculated volume, Å³/atom: 28.19
Uncorrected energy, eV/atom: -5.08
Offset from the most stable computed form, meV per atom: 0
Density of states at the Fermi level, states/eV/atom: 0.9113

a b c (Å): 7.7648 7.7648 19.4339
angles (deg): 90.00 90.00 120.00
Closest atoms and distances in Å follow each position.
Space group R-3c (No. 167, hexagonal axes)
One atom of each set of equivalent atoms:
Pr 0.0000 0.2918 0.2500  4 Pd 3.02-3.04, 2 Ag 3.20
Ag 0.0000 0.0000 0.0000  2 Pd 2.83
Pd 0.0000 0.0000 0.1458  1 Ag 2.83, 6 Pr 3.02-3.04



[9]
# Rb2Cd

Rb2Cd after structural relaxation (PBE, Alexandria via LeMat-Bulk).

Properties
Calculated formation energy, eV/f.u.: 0.04
Calculated volume, Å³/atom: 58.69
Uncorrected energy, eV/atom: -0.94
Offset from the most stable computed form, meV per atom: 53
Density of states at the Fermi level, states/eV/atom: 0.6997

a b c (Å): 6.5685 6.5722 8.7835
angles (deg): 90.00 111.76 90.00
Closest atoms and distances in Å follow each position.
Space group C2/m (No. 12)
One atom of each set of equivalent atoms:
Rb 0.1344 0.0000 0.2696  4 Cd 3.95-3.96, 1 Rb 4.40
Cd 0.0000 0.5000 0.0000  8 Rb 3.95-3.96



[10]
# LaBPO2

LaBPO2 after structural relaxation (PBE, Alexandria via LeMat-Bulk).

Properties
Calculated volume, Å³/atom: 12.68
Uncorrected energy, eV/atom: -6.29
Offset from the most stable computed form, meV per atom: 0
Density of states at the Fermi level, states/eV/atom: 0.5660

a b c (Å): 4.0795 4.0795 3.8101
angles (deg): 90.00 90.00 90.00
Closest atoms and distances in Å follow each position.
Space group P4/mmm (No. 123)
One atom of each set of equivalent atoms:
La 0.0000 0.0000 0.0000  8 O 2.79, 4 P 2.88
B 0.5000 0.5000 0.5000  2 P 1.91, 4 O 2.04
P 0.5000 0.5000 0.0000  2 B 1.91
O 0.0000 0.5000 0.5000  2 B 2.04



[11]
# BeTl2H

BeTl2H after structural relaxation (PBE, Alexandria via LeMat-Bulk).

Properties
Calculated volume, Å³/atom: 18.22
Uncorrected energy, eV/atom: -2.19
Offset from the most stable computed form, meV per atom: 108
Density of states at the Fermi level, states/eV/atom: 0.5415

a b c (Å): 6.6311 6.6311 6.6311
angles (deg): 90.00 90.00 90.00
Closest atoms and distances in Å follow each position.
Space group Fm-3m (No. 225)
One atom of each set of equivalent atoms:
Be 0.0000 0.0000 0.0000  8 Tl 2.87
Tl 0.2500 0.2500 0.2500  4 H 2.87, 4 Be 2.87
H 0.0000 0.0000 0.5000  8 Tl 2.87



[12]
# AlCrFe

AlCrFe after structural relaxation (PBE, Alexandria via LeMat-Bulk).

Properties
Calculated formation energy, eV/f.u.: 0.29
Calculated volume, Å³/atom: 12.43
Uncorrected energy, eV/atom: -7.18
Density of states at the Fermi level, states/eV/atom: 0.8371

a b c (Å): 13.3782 2.5316 4.4657
angles (deg): 90.00 99.62 90.00
Closest atoms and distances in Å follow each position.
Space group C2/m (No. 12)
One atom of each set of equivalent atoms:
Al 0.1746 0.0000 0.0969  5 Fe 2.53-2.63, 4 Al 2.53-2.65, 2 Cr 2.54-2.56
Cr 0.0010 0.0000 0.7551  2 Cr 2.19-2.27
Fe 0.1521 0.5000 0.5749  5 Al 2.53-2.63, 2 Fe 2.53, 4 Cr 2.62-2.64



Question: density of states at the Fermi level of number 2 (Ce2Er4Tm5)?
Answer: 1.9169 states/eV/atom